(1)
Material: AlP4W
Method: DFT, meta-GGA SCAN
State: single point on PBEsol structure

Unit cell a=4.908 b=4.908 c=4.908 alpha=60.00 beta=60.00 gamma=60.00
Element x y z (fractional)
1 Al 0.000 0.000 0.000
2 P 0.127 0.624 0.624
3 P 0.624 0.127 0.624
4 P 0.624 0.624 0.127
5 P 0.624 0.624 0.624
6 W 0.250 0.250 0.250

Properties
N(E_F), states/eV per cell: 3.3
Space group: F-43m
Energy of formation, eV/atom: 0.938

=====

(2)
Material: SiHgW
Method: DFT, meta-GGA SCAN
State: single point on PBEsol structure

Unit cell a=2.959 b=2.959 c=6.601 alpha=90.00 beta=90.00 gamma=120.00
Element x y z (fractional)
1 Si 0.000 0.000 0.000
2 Hg 0.667 0.333 0.349
3 W 0.333 0.667 0.712

Properties
N(E_F), states/eV per cell: 3.1
Formation energy from raw total energies, eV/atom: 0.668
Space group: P3m1

=====

(3)
Material: YMgCd
Method: DFT, meta-GGA SCAN
State: single point on PBEsol structure

Unit cell a=4.883 b=4.883 c=4.883 alpha=60.00 beta=60.00 gamma=60.00
Element x y z (fractional)
1 Y 0.000 0.000 0.000
2 Mg 0.500 0.500 0.500
3 Cd 0.750 0.750 0.750

Properties
N(E_F), states/eV per cell: 3.0
Space group: F-43m
Energy of formation, eV/atom: -0.135

=====

(4)
Material: Ni2RuCl
Method: DFT, meta-GGA SCAN
State: single point on PBEsol structure

Unit cell a=2.731 b=2.731 c=7.925 alpha=90.00 beta=90.00 gamma=119.51
Element x y z (fractional)
1 Ni 0.000 0.000 0.244
2 Ni 0.000 0.000 0.756
3 Ru 0.500 0.500 0.500
4 Cl 0.500 0.500 0.000

Properties
Offset from the most stable computed form, eV per atom: 0.072
N(E_F), states/eV per cell: 4.2
Formation energy from raw total energies, eV/atom: 0.487
Space group: Cmmm

=====

(5)
Material: HfCdTe2N
Method: DFT, meta-GGA SCAN
State: single point on PBEsol structure

Unit cell a=5.505 b=5.505 c=3.966 alpha=90.00 beta=90.00 gamma=90.00
Element x y z (fractional)
1 Hf 0.000 0.000 0.000
2 Cd 0.500 0.500 0.500
3 Te 0.000 0.500 0.500
4 Te 0.500 0.000 0.500
5 N 0.500 0.500 0.000

Properties
N(E_F), states/eV per cell: 3.3
Formation energy from raw total energies, eV/atom: 0.985
Space group: P4/mmm

=====

(6)
Material: CaTlCl2
Method: DFT, meta-GGA SCAN
State: single point on PBEsol structure

Unit cell a=5.164 b=5.164 c=5.164 alpha=60.00 beta=60.00 gamma=60.00
Element x y z (fractional)
1 Ca 0.000 0.000 0.000
2 Tl 0.500 0.500 0.500
3 Cl 0.250 0.250 0.250
4 Cl 0.750 0.750 0.750

Properties
Offset from the most stable computed form, eV per atom: 0.172
N(E_F), states/eV per cell: 2.3
Formation energy from raw total energies, eV/atom: -1.328
Space group: Fm-3m

=====

(7)
Material: KTaIr2
Method: DFT, meta-GGA SCAN
State: single point on PBEsol structure

Unit cell a=5.101 b=2.750 c=5.448 alpha=90.00 beta=115.52 gamma=90.00
Element x y z (fractional)
1 K 0.000 0.000 0.000
2 Ta 0.500 0.500 0.500
3 Ir 0.000 0.000 0.500
4 Ir 0.500 0.500 0.000

Properties
Offset from the most stable computed form, eV per atom: 0.381
N(E_F), states/eV per cell: 2.8
Space group: P2/m
Energy of formation, eV/atom: 0.913

=====

(8)
Material: MgCdHg2
Method: DFT, meta-GGA SCAN
State: single point on PBEsol structure

Unit cell a=4.571 b=4.571 c=4.034 alpha=90.00 beta=90.00 gamma=90.00
Element x y z (fractional)
1 Mg 0.000 0.000 0.000
2 Cd 0.500 0.500 0.000
3 Hg 0.000 0.500 0.500
4 Hg 0.500 0.000 0.500

Properties
N(E_F), states/eV per cell: 1.2
Space group: P4/mmm
Energy of formation, eV/atom: -0.153

=====

(9)
Material: Zr2AlAu
Method: DFT, meta-GGA SCAN
State: single point on PBEsol structure

Unit cell a=5.133 b=5.133 c=5.133 alpha=131.35 beta=131.35 gamma=71.26
Element x y z (fractional)
1 Zr 0.250 0.750 0.500
2 Zr 0.750 0.250 0.500
3 Al 0.000 0.000 0.000
4 Au 0.500 0.500 0.000

Properties
N(E_F), states/eV per cell: 3.3
Space group: I4/mmm
Energy of formation, eV/atom: -0.644

=====

(10)
Material: Co3ReSn
Method: DFT, meta-GGA SCAN
State: single point on PBEsol structure

Unit cell a=4.405 b=4.405 c=4.405 alpha=90.00 beta=90.00 gamma=90.00
Element x y z (fractional)
1 Co 0.000 0.000 0.500
2 Co 0.000 0.500 0.000
3 Co 0.500 0.000 0.000
4 Re 0.000 0.000 0.000
5 Sn 0.500 0.500 0.500

Properties
N(E_F), states/eV per cell: 2.8
Space group: Pm-3m
Energy of formation, eV/atom: 1.409

=====

(11)
Material: SmAlPd
Method: DFT, meta-GGA SCAN
State: single point on PBEsol structure

Unit cell a=6.983 b=4.448 c=7.724 alpha=90.00 beta=90.00 gamma=90.00
Element x y z (fractional)
1 Sm 0.034 0.250 0.179
2 Sm 0.466 0.750 0.679
3 Sm 0.534 0.250 0.321
4 Sm 0.966 0.750 0.821
5 Al 0.144 0.250 0.565
6 Al 0.356 0.750 0.065
7 Al 0.644 0.250 0.935
8 Al 0.856 0.750 0.435
9 Pd 0.222 0.750 0.385
10 Pd 0.278 0.250 0.885
11 Pd 0.722 0.750 0.115
12 Pd 0.778 0.250 0.615

Properties
N(E_F), states/eV per cell: 5.6
Space group: Pnma
Energy of formation, eV/atom: -0.968

=====

(12)
Material: MgTe3
Method: DFT, meta-GGA SCAN
State: single point on PBEsol structure

Unit cell a=6.402 b=6.402 c=6.402 alpha=141.69 beta=62.03 gamma=133.17
Element x y z (fractional)
1 Mg 0.000 0.000 0.000
2 Te 0.344 0.669 0.675
3 Te 0.591 0.091 0.500
4 Te 0.994 0.669 0.325

Properties
N(E_F), states/eV per cell: 0.7
Formation energy from raw total energies, eV/atom: -0.277
Space group: Imm2

=====

Number 1: spin magnetization 0.000 μB/f.u.. Number 2: spin magnetization 0.001 μB/f.u.. Number 3: spin magnetization 0.968 μB/f.u.. Number 4: spin magnetization 2.748 μB/f.u.. Number 5: spin magnetization 0.893 μB/f.u.. Number 6: spin magnetization 0.000 μB/f.u.. Number 7: spin magnetization 0.000 μB/f.u.. Number 8: spin magnetization 0.000 μB/f.u.. Number 9: spin magnetization 0.879 μB/f.u.. Number 10: spin magnetization 3.988 μB/f.u.. Number 11: spin magnetization 0.000 μB/f.u.. Number 12: spin magnetization 0.000 μB/f.u..